Density functional theory data (GGA-PBEsol) for ErZnGe after structural relaxation.

Output
Crystal system: hexagonal
Energy of formation: -63.19 kJ/mol of atoms
DOS at the Fermi energy: 1.63 states/eV/f.u.
Uncorrected energy: -4.471 eV per atom
M_tot: 0.0 μB per formula unit

Cell lengths 4.113, 4.113, 7.768 Å; angles 90.00, 90.00, 120.00 degrees
Element x y z (fractional)
Er 0.000 0.000 0.000
Er 0.000 0.000 0.500
Zn 0.333 0.667 0.250
Zn 0.667 0.333 0.750
Ge 0.333 0.667 0.750
Ge 0.667 0.333 0.250